one:
## Tl2CdRh2 (PBE)

Data for Tl2CdRh2 after structural relaxation.

Summary:
magnetization	0.67	μB/cell

abc: 9.087 9.087 9.087
angles: 156.75 156.75 33.11
Atoms (fractional coordinates):
Tl1 0.120 0.120 0.000
Tl2 0.880 0.880 0.000
Cd1 0.500 0.500 0.000
Rh1 0.250 0.750 0.500
Rh2 0.750 0.250 0.500

two:
## Tl2CdRh2 (PBE)

Data for Tl2CdRh2 after structural relaxation.

Summary:
magnetization	0.00	μB/cell

abc: 7.224 7.224 3.790
angles: 90.00 90.00 90.00
Atoms (fractional coordinates):
Tl1 0.160 0.340 0.000
Tl2 0.340 0.840 0.000
Tl3 0.660 0.160 0.000
Tl4 0.840 0.660 0.000
Cd1 0.000 0.000 0.500
Cd2 0.500 0.500 0.500
Rh1 0.141 0.641 0.500
Rh2 0.359 0.141 0.500
Rh3 0.641 0.859 0.500
Rh4 0.859 0.359 0.500

three:
## Tl2CdRh2 (PBE)

Data for Tl2CdRh2 after structural relaxation.

Summary:
magnetization	0.00	μB/cell

abc: 6.738 6.738 6.738
angles: 143.07 143.07 53.21
Atoms (fractional coordinates):
Tl1 0.250 0.750 0.500
Tl2 0.750 0.250 0.500
Cd1 0.000 0.000 0.000
Rh1 0.396 0.396 0.000
Rh2 0.604 0.604 0.000

Decreasing stability: two, one, three

one:
## Tm2CdRh (PBE)

Data for Tm2CdRh after structural relaxation.

Summary:
magnetization	0.00	μB/cell

abc: 8.079 8.079 8.079
angles: 28.09 28.09 28.09
Atoms (fractional coordinates):
Tm1 0.000 0.000 0.000
Tm2 0.203 0.203 0.203
Cd1 0.436 0.436 0.436
Rh1 0.601 0.601 0.601

two:
## Tm2CdRh (PBE)

Data for Tm2CdRh after structural relaxation.

Summary:
magnetization	0.00	μB/cell

abc: 8.216 8.216 8.216
angles: 27.17 27.17 27.17
Atoms (fractional coordinates):
Tm1 0.232 0.232 0.232
Tm2 0.768 0.768 0.768
Cd1 0.000 0.000 0.000
Rh1 0.500 0.500 0.500

three:
## Tm2CdRh (PBE)

Data for Tm2CdRh after structural relaxation.

Summary:
magnetization	0.00	μB/cell

abc: 3.459 3.459 7.459
angles: 90.00 90.00 90.00
Atoms (fractional coordinates):
Tm1 0.000 0.000 0.217
Tm2 0.000 0.000 0.783
Cd1 0.500 0.500 0.500
Rh1 0.500 0.500 0.000

Decreasing stability: three, two, one

one:
## YTmCdRh (PBE)

Data for YTmCdRh after structural relaxation.

Summary:
magnetization	0.00	μB/cell

abc: 3.490 3.490 7.505
angles: 90.00 90.00 90.00
Atoms (fractional coordinates):
Y1 0.000 0.000 0.000
Tm1 0.000 0.000 0.565
Cd1 0.500 0.500 0.288
Rh1 0.500 0.500 0.773

two:
## YTmCdRh (PBE)

Data for YTmCdRh after structural relaxation.

Summary:
magnetization	0.00	μB/cell

abc: 5.026 5.026 5.026
angles: 60.00 60.00 60.00
Atoms (fractional coordinates):
Y1 0.000 0.000 0.000
Tm1 0.500 0.500 0.500
Cd1 0.250 0.250 0.250
Rh1 0.750 0.750 0.750

Decreasing stability: one, two

one:
## CdRh2W (PBE)

Data for CdRh2W after structural relaxation.

Summary:
magnetization	0.00	μB/cell

abc: 4.723 4.723 5.140
angles: 98.56 98.56 34.44
Atoms (fractional coordinates):
Cd1 0.000 0.000 0.000
Rh1 0.246 0.246 0.727
Rh2 0.754 0.754 0.273
W1 0.500 0.500 0.500

two:
## CdRh2W (PBE)

Data for CdRh2W after structural relaxation.

Summary:
magnetization	0.00	μB/cell

abc: 4.488 4.488 4.488
angles: 60.00 60.00 60.00
Atoms (fractional coordinates):
Cd1 0.000 0.000 0.000
Rh1 0.500 0.500 0.500
Rh2 0.750 0.750 0.750
W1 0.250 0.250 0.250

Decreasing stability: one, two

one:
## CdRh2W (PBE)

Data for CdRh2W after structural relaxation.

Summary:
magnetization	0.00	μB/cell

abc: 2.811 2.811 8.110
angles: 90.00 90.00 90.00
Atoms (fractional coordinates):
Cd1 0.000 0.000 0.000
Rh1 0.000 0.000 0.493
Rh2 0.500 0.500 0.252
W1 0.500 0.500 0.715

two:
## CdRh2W (PBE)

Data for CdRh2W after structural relaxation.

Summary:
magnetization	0.00	μB/cell

abc: 2.758 2.758 9.347
angles: 90.00 90.00 114.34
Atoms (fractional coordinates):
Cd1 0.000 0.000 0.000
Rh1 0.000 0.000 0.493
Rh2 0.500 0.500 0.249
W1 0.500 0.500 0.722

three:
## CdRh2W (PBE)

Data for CdRh2W after structural relaxation.

Summary:
magnetization	0.00	μB/cell

abc: 5.079 5.079 5.079
angles: 135.74 135.74 64.38
Atoms (fractional coordinates):
Cd1 0.000 0.000 0.000
Rh1 0.250 0.750 0.500
Rh2 0.500 0.500 0.000
W1 0.750 0.250 0.500

Decreasing stability: three, one, two

one:
## CdRh2W (PBE)

Data for CdRh2W after structural relaxation.

Summary:
magnetization	0.00	μB/cell

abc: 4.983 4.983 4.782
angles: 100.57 100.57 33.00
Atoms (fractional coordinates):
Cd1 0.000 0.000 0.000
Rh1 0.494 0.494 0.502
Rh2 0.754 0.754 0.202
W1 0.233 0.233 0.676

two:
## CdRh2W (PBE)

Data for CdRh2W after structural relaxation.

Summary:
magnetization	0.00	μB/cell

abc: 2.859 3.668 6.099
angles: 90.00 90.00 90.00
Atoms (fractional coordinates):
Cd1 0.000 0.000 0.000
Rh1 0.500 0.500 0.273
Rh2 0.500 0.500 0.727
W1 0.000 0.000 0.500

three:
## CdRh2W (PBE)

Data for CdRh2W after structural relaxation.

Summary:
magnetization	0.00	μB/cell

abc: 4.728 4.728 2.859
angles: 90.00 90.00 90.00
Atoms (fractional coordinates):
Cd1 0.000 0.000 0.000
Rh1 0.000 0.500 0.500
Rh2 0.500 0.000 0.500
W1 0.500 0.500 0.000

four:
## CdRh2W (PBE)

Data for CdRh2W after structural relaxation.

Summary:
magnetization	0.38	μB/cell

abc: 9.438 9.438 9.438
angles: 17.19 17.19 17.19
Atoms (fractional coordinates):
Cd1 0.000 0.000 0.000
Rh1 0.498 0.498 0.498
Rh2 0.750 0.750 0.750
W1 0.240 0.240 0.240

Decreasing stability: two, one, three, four

one:
## CdRh2W (PBE)

Data for CdRh2W after structural relaxation.

Summary:
magnetization	0.00	μB/cell

abc: 9.207 9.207 9.207
angles: 17.87 17.87 17.87
Atoms (fractional coordinates):
Cd1 0.000 0.000 0.000
Rh1 0.244 0.244 0.244
Rh2 0.756 0.756 0.756
W1 0.500 0.500 0.500

two:
## CdRh2W (PBE)

Data for CdRh2W after structural relaxation.

Summary:
magnetization	0.00	μB/cell

abc: 4.728 4.728 4.728
angles: 128.68 128.68 75.53
Atoms (fractional coordinates):
Cd1 0.000 0.000 0.000
Rh1 0.250 0.750 0.500
Rh2 0.750 0.250 0.500
W1 0.500 0.500 0.000

three:
## CdRh2W (PBE)

Data for CdRh2W after structural relaxation.

Summary:
magnetization	0.00	μB/cell

abc: 4.789 4.789 2.834
angles: 90.00 90.00 103.95
Atoms (fractional coordinates):
Cd1 0.000 0.000 0.000
Rh1 0.000 0.500 0.500
Rh2 0.500 0.000 0.500
W1 0.500 0.500 0.000

four:
## CdRh2W (PBE)

Data for CdRh2W after structural relaxation.

Summary:
magnetization	0.00	μB/cell

abc: 2.816 4.171 5.449
angles: 90.00 90.00 90.00
Atoms (fractional coordinates):
Cd1 0.000 0.000 0.000
Rh1 0.000 0.000 0.504
Rh2 0.500 0.500 0.228
W1 0.500 0.500 0.692

Decreasing stability: one, two, three, four

one:
## Cd3RhW (PBE)

Data for Cd3RhW after structural relaxation.

Summary:
magnetization	0.51	μB/cell

abc: 5.201 5.201 5.201
angles: 90.00 90.00 90.00
Atoms (fractional coordinates):
Cd1 0.000 0.000 0.500
Cd2 0.000 0.500 0.000
Cd3 0.500 0.000 0.000
Rh1 0.500 0.500 0.500
W1 0.000 0.000 0.000

two:
## Cd3RhW (PBE)

Data for Cd3RhW after structural relaxation.

Summary:
magnetization	0.04	μB/cell

abc: 4.964 4.964 4.964
angles: 90.00 90.00 90.00
Atoms (fractional coordinates):
Cd1 0.000 0.000 0.500
Cd2 0.000 0.500 0.000
Cd3 0.500 0.000 0.000
Rh1 0.000 0.000 0.000
W1 0.500 0.500 0.500

Decreasing stability: two, one

one:
## Y4CdRh (PBE)

Data for Y4CdRh after structural relaxation.

Summary:
magnetization	0.00	μB/cell

abc: 7.759 7.759 6.135
angles: 99.46 99.46 110.61
Atoms (fractional coordinates):
Y1 0.067 0.723 0.954
Y2 0.204 0.370 0.607
Y3 0.277 0.933 0.546
Y4 0.370 0.204 0.107
Y5 0.630 0.796 0.893
Y6 0.723 0.067 0.454
Y7 0.796 0.630 0.393
Y8 0.933 0.277 0.046
Cd1 0.377 0.623 0.250
Cd2 0.623 0.377 0.750
Rh1 0.001 0.999 0.750
Rh2 0.999 0.001 0.250

two:
## Y4CdRh (PBE)

Data for Y4CdRh after structural relaxation.

Summary:
magnetization	0.00	μB/cell

abc: 6.115 6.115 6.115
angles: 60.00 60.00 60.00
Atoms (fractional coordinates):
Y1 0.376 0.376 0.376
Y2 0.376 0.376 0.872
Y3 0.376 0.872 0.376
Y4 0.872 0.376 0.376
Cd1 0.000 0.000 0.000
Rh1 0.750 0.750 0.750

three:
## Y4CdRh (PBE)

Data for Y4CdRh after structural relaxation.

Summary:
magnetization	0.00	μB/cell

abc: 9.657 9.657 9.657
angles: 60.00 60.00 60.00
Atoms (fractional coordinates):
Y1 0.186 0.186 0.814
Y2 0.186 0.814 0.186
Y3 0.186 0.814 0.814
Y4 0.400 0.400 0.400
Y5 0.400 0.400 0.800
Y6 0.400 0.800 0.400
Y7 0.561 0.561 0.939
Y8 0.561 0.939 0.561
Y9 0.561 0.939 0.939
Y10 0.800 0.400 0.400
Y11 0.814 0.186 0.186
Y12 0.814 0.186 0.814
Y13 0.814 0.814 0.186
Y14 0.939 0.561 0.561
Y15 0.939 0.561 0.939
Y16 0.939 0.939 0.561
Cd1 0.169 0.169 0.169
Cd2 0.169 0.169 0.493
Cd3 0.169 0.493 0.169
Cd4 0.493 0.169 0.169
Rh1 0.177 0.608 0.608
Rh2 0.608 0.177 0.608
Rh3 0.608 0.608 0.177
Rh4 0.608 0.608 0.608

Decreasing stability: three, one, two